Material: TePd4Se
Method: DFT, GGA-PBE
State: relaxed

The structure in POSCAR format:
```
TePd4Se
1.0
5.548 -0.301 0.002
-1.265 5.410 0.002
-2.139 -2.551 7.386
Se Pd Te
2 8 2
direct
0.875 0.125 0.250 Se
0.125 0.875 0.750 Se
0.721 0.454 0.449 Pd
0.005 0.772 0.051 Pd
0.228 0.995 0.449 Pd
0.454 0.721 0.949 Pd
0.279 0.546 0.551 Pd
0.995 0.228 0.949 Pd
0.772 0.005 0.551 Pd
0.546 0.279 0.051 Pd
0.375 0.625 0.250 Te
0.625 0.375 0.750 Te
```

Results
- Distance to the lowest polymorph of the same formula: 0.000 eV/atom
- Total moment: 0.00 μB/cell
- E_tot: -4.76 eV/atom
- Formation energy (no corrections): -0.19 eV/atom
- Space group: Fddd (70)
- Crystal system: orthorhombic

Material: UTiReTc
Method: DFT, GGA-PBE
State: relaxed

The structure in POSCAR format:
```
UTiReTc
1.0
4.598 0.000 0.000
2.299 3.982 0.000
2.299 1.327 3.755
Tc Ti Re U
1 1 1 1
direct
0.000 0.000 0.000 Tc
0.250 0.250 0.250 Ti
0.500 0.500 0.500 Re
0.750 0.750 0.750 U
```

Results
- Total moment: 1.34 μB/cell
- E_tot: -10.61 eV/atom
- ΔH_f (0 K): -0.11 eV per atom
- Space group: F-43m (216)
- Crystal system: cubic